(1)
The following is a DFT calculation (PBE) of a relaxed structure of ZnSnTe2I.

The structure in CIF format:
```
data_ZnSnTe2I
_cell_length_a 5.3483
_cell_length_b 5.3483
_cell_length_c 5.5726
_cell_angle_alpha 90.00
_cell_angle_beta 90.00
_cell_angle_gamma 90.00
_symmetry_space_group_name_H-M 'P 1'
_symmetry_Int_Tables_number 1
loop_
_symmetry_equiv_pos_as_xyz
'x,y,z'
loop_
_atom_site_label
_atom_site_type_symbol
_atom_site_fract_x
_atom_site_fract_y
_atom_site_fract_z
Sn1 Sn 0.5000 0.5000 0.5000
I1 I 0.0000 0.0000 0.5000
Te1 Te 0.0000 0.5000 0.0000
Te2 Te 0.5000 0.0000 0.0000
Zn1 Zn 0.0000 0.0000 0.0000
```

DOS(E_F)	2.93	states/eV/f.u.
total magnetic moment	0.00	Bohr magnetons per cell
final energy	-2.477	eV/atom

---

(2)
The following is a DFT calculation (PBE) of a relaxed structure of ZnSnTe2I.

The structure in CIF format:
```
data_ZnSnTe2I
_cell_length_a 5.7577
_cell_length_b 5.7577
_cell_length_c 5.9828
_cell_angle_alpha 90.00
_cell_angle_beta 90.00
_cell_angle_gamma 90.00
_symmetry_space_group_name_H-M 'P 1'
_symmetry_Int_Tables_number 1
loop_
_symmetry_equiv_pos_as_xyz
'x,y,z'
loop_
_atom_site_label
_atom_site_type_symbol
_atom_site_fract_x
_atom_site_fract_y
_atom_site_fract_z
Te1 Te 0.5000 0.0000 0.0000
Te2 Te 0.0000 0.5000 0.0000
I1 I 0.0000 0.0000 0.5000
Zn1 Zn 0.5000 0.5000 0.5000
Sn1 Sn 0.0000 0.0000 0.0000
```

DOS(E_F)	6.17	states/eV/f.u.
total magnetic moment	0.00	Bohr magnetons per cell
final energy	-2.250	eV/atom

---

(3)
The following is a DFT calculation (PBE) of a relaxed structure of ZnSnTeI2.

The structure in CIF format:
```
data_ZnSnTeI2
_cell_length_a 5.9883
_cell_length_b 5.9883
_cell_length_c 5.8421
_cell_angle_alpha 90.00
_cell_angle_beta 90.00
_cell_angle_gamma 90.00
_symmetry_space_group_name_H-M 'P 1'
_symmetry_Int_Tables_number 1
loop_
_symmetry_equiv_pos_as_xyz
'x,y,z'
loop_
_atom_site_label
_atom_site_type_symbol
_atom_site_fract_x
_atom_site_fract_y
_atom_site_fract_z
Te1 Te 0.0000 0.0000 0.5000
Sn1 Sn 0.0000 0.0000 0.0000
I1 I 0.5000 0.0000 0.0000
I2 I 0.0000 0.5000 0.0000
Zn1 Zn 0.5000 0.5000 0.5000
```

DOS(E_F)	4.89	states/eV/f.u.
total magnetic moment	0.00	Bohr magnetons per cell
final energy	-2.106	eV/atom

---

(4)
The following is a DFT calculation (PBE) of a relaxed structure of ZnSnTeI2.

The structure in CIF format:
```
data_ZnSnTeI2
_cell_length_a 5.4487
_cell_length_b 5.4487
_cell_length_c 5.6377
_cell_angle_alpha 90.00
_cell_angle_beta 90.00
_cell_angle_gamma 90.00
_symmetry_space_group_name_H-M 'P 1'
_symmetry_Int_Tables_number 1
loop_
_symmetry_equiv_pos_as_xyz
'x,y,z'
loop_
_atom_site_label
_atom_site_type_symbol
_atom_site_fract_x
_atom_site_fract_y
_atom_site_fract_z
I1 I 0.0000 0.5000 0.0000
I2 I 0.5000 0.0000 0.0000
Sn1 Sn 0.5000 0.5000 0.5000
Te1 Te 0.0000 0.0000 0.5000
Zn1 Zn 0.0000 0.0000 0.0000
```

DOS(E_F)	1.70	states/eV/f.u.
total magnetic moment	0.00	Bohr magnetons per cell
final energy	-2.260	eV/atom

---

DOS(E_F) of number 1 (ZnSnTe2I)? 2.93 states/eV/f.u.

---

total magnetic moment of number 4 (ZnSnTeI2)? 0.00 Bohr magnetons per cell

---

What did the first record say?
The following is a DFT calculation (PBE) of a relaxed structure of ZnSnTe2I.

The structure in CIF format:
```
data_ZnSnTe2I
_cell_length_a 5.3483
_cell_length_b 5.3483
_cell_length_c 5.5726
_cell_angle_alpha 90.00
_cell_angle_beta 90.00
_cell_angle_gamma 90.00
_symmetry_space_group_name_H-M 'P 1'
_symmetry_Int_Tables_number 1
loop_
_symmetry_equiv_pos_as_xyz
'x,y,z'
loop_
_atom_site_label
_atom_site_type_symbol
_atom_site_fract_x
_atom_site_fract_y
_atom_site_fract_z
Sn1 Sn 0.5000 0.5000 0.5000
I1 I 0.0000 0.0000 0.5000
Te1 Te 0.0000 0.5000 0.0000
Te2 Te 0.5000 0.0000 0.0000
Zn1 Zn 0.0000 0.0000 0.0000
```

DOS(E_F)	2.93	states/eV/f.u.
total magnetic moment	0.00	Bohr magnetons per cell
final energy	-2.477	eV/atom